Tb2SmHo2Sc2 | PBE-GGA | optimized geometry

a b c (Å): 3.391 8.772 8.198
angles (deg): 116.09 90.00 101.14
Sites, in units of the cell vectors:
Ho  0.212  0.425  0.790
Ho  0.788  0.575  0.210
Tb  0.428  0.856  0.085
Tb  0.572  0.144  0.915
Sc  0.349  0.697  0.607
Sc  0.651  0.303  0.393
Sm  0.000  0.000  0.500

## Properties
N(E_F) in states/eV per atom: 1.698
DFT formation energy in eV per atom: 0.1815
Total energy in eV/atom: -4.9326